# Nd6Ni2SCl3 (PBE, optimized geometry)
data_Nd6Ni2SCl3
_chemical_formula_sum 'Nd12 Ni4 S2 Cl6'
_cell_length_a 7.128
_cell_length_b 12.289
_cell_length_c 7.445
_cell_angle_alpha 90.00
_cell_angle_beta 108.51
_cell_angle_gamma 90.00
_space_group_name_H-M_alt 'C 1 2/m 1'
_space_group_IT_number 12
_space_group_name_Hall '-C 2y'
loop_
_atom_site_label
_atom_site_type_symbol
_atom_site_fract_x
_atom_site_fract_y
_atom_site_fract_z
Nd1 Nd 0.220 0.000 0.209
Nd2 Nd 0.246 0.326 0.213
Ni1 Ni 0.000 0.168 0.000
S1 S 0.000 0.500 0.000
Cl1 Cl 0.000 0.000 0.500
Cl2 Cl 0.000 0.343 0.500
# uncorrected formation energy = -1.185 eV per atom

=====

# Nd4SiNiCl2 (PBE, optimized geometry)
data_Nd4SiNiCl2
_chemical_formula_sum 'Nd4 Si1 Ni1 Cl2'
_cell_length_a 7.390
_cell_length_b 4.065
_cell_length_c 7.405
_cell_angle_alpha 90.00
_cell_angle_beta 107.91
_cell_angle_gamma 90.00
_space_group_name_H-M_alt 'P 1 2/m 1'
_space_group_IT_number 10
_space_group_name_Hall '-P 2y'
loop_
_atom_site_label
_atom_site_type_symbol
_atom_site_fract_x
_atom_site_fract_y
_atom_site_fract_z
Nd1 Nd 0.222 0.000 0.211
Nd2 Nd 0.255 0.500 0.771
Si1 Si 0.500 0.000 0.000
Ni1 Ni 0.000 0.500 0.000
Cl1 Cl 0.000 0.000 0.500
Cl2 Cl 0.500 0.500 0.500
# uncorrected formation energy = -1.001 eV per atom

=====

# Nd8Si3NiCl4 (PBE, optimized geometry)
data_Nd8Si3NiCl4
_chemical_formula_sum 'Nd24 Si9 Ni3 Cl12'
_cell_length_a 8.4239
_cell_length_b 8.4239
_cell_length_c 20.8661
_cell_angle_alpha 90.00
_cell_angle_beta 90.00
_cell_angle_gamma 120.00
_space_group_name_H-M_alt 'R -3 m'
_space_group_IT_number 166
_space_group_name_Hall '-R 3 2"'
loop_
_atom_site_label
_atom_site_type_symbol
_atom_site_fract_x
_atom_site_fract_y
_atom_site_fract_z
Nd1 Nd 0.0000 0.0000 0.2430
Nd2 Nd 0.0086 0.5043 0.2407
Si1 Si 0.0000 0.5000 0.5000
Ni1 Ni 0.0000 0.0000 0.5000
Cl1 Cl 0.0000 0.0000 0.0000
Cl2 Cl 0.0000 0.5000 0.0000
# uncorrected formation energy = -1.089 eV per atom

=====

# Nd6SiNi2Cl3 (PBE, optimized geometry)
data_Nd6SiNi2Cl3
_chemical_formula_sum 'Nd12 Si2 Ni4 Cl6'
_cell_length_a 18.576
_cell_length_b 4.074
_cell_length_c 8.713
_cell_angle_alpha 90.00
_cell_angle_beta 106.42
_cell_angle_gamma 90.00
_space_group_name_H-M_alt 'C 1 2/m 1'
_space_group_IT_number 12
_space_group_name_Hall '-C 2y'
loop_
_atom_site_label
_atom_site_type_symbol
_atom_site_fract_x
_atom_site_fract_y
_atom_site_fract_z
Nd1 Nd 0.011 0.000 0.241
Nd2 Nd 0.163 0.500 0.113
Nd3 Nd 0.174 0.500 0.562
Si1 Si 0.000 0.500 0.000
Ni1 Ni 0.170 0.000 0.340
Cl1 Cl 0.000 0.500 0.500
Cl2 Cl 0.160 0.000 0.837
# uncorrected formation energy = -0.968 eV per atom